The following is a DFT calculation (PBE-GGA) of a relaxed structure of CaCoSn3.

Structure (POSCAR):
```
CaCoSn3
1.0
4.7106 -0.0003 -0.0050
0.0076 4.7106 -0.0050
-2.3631 -2.3591 5.4051
Sn Co Ca
3 1 1
Cartesian
2.3577 2.3537 3.0353 Sn
0.0031 2.3542 0.9735 Sn
2.3542 -0.0009 0.9735 Sn
-0.0021 -0.0021 0.0644 Co
-0.0012 -0.0012 3.6688 Ca
```

Output
Its space group is Cm, No. 8. Its formation energy is -0.30 eV/atom. The value obtained for the volume is 119.8 Å³ per cell.